Density functional theory data (GGA-PBE) for crystalline Ba3Au at its relaxed geometry.

- Energy: -2.599 eV/atom
- SG: Imm2
- ΔE_f: -338 meV per atom

a b c (Å): 7.5237 7.5237 7.5237
angles (deg): 145.99 120.07 70.73
With the nearest neighbours (Å) after each atom.
Fractional positions:
Ba 0.6296 0.5000 0.1296  2 Au 3.30
Ba 0.9445 0.3211 0.6233  2 Au 3.35
Ba 0.3022 0.6789 0.6233  2 Au 3.35
Au 0.9571 0.0000 0.9571  6 Ba 3.30-3.35